Computed, not measured: an optimized crystal structure of PmWO4 at the PBE+U level of DFT.

Unit cell a=7.5066 b=7.5066 c=6.8451 alpha=90.00 beta=90.00 gamma=90.00
Space group I4_1/amd (No. 141, origin choice 2)
Inequivalent atoms, fractional coordinates:
Pm1 0.0000 0.2500 0.3750
W1 0.0000 0.2500 0.8750
O1 0.0000 0.0620 0.6928

Values from the calculation:
distance to the lowest polymorph of the same formula: 12.47 kJ per mole of atoms